The following is a DFT calculation (PBE-GGA) of an optimized crystal structure of TaSiB.

Values from the calculation:
Volume (Å³ per atom): 14.73
Uncorrected energy (eV for the cell shown): -82.9
Energy above the most stable polymorph in this dataset (meV/atom): 650.1

Geometry as CIF:
```
data_TaSiB
_space_group_name_H-M_alt 'F -4 3 m'
_space_group_IT_number 216
_space_group_name_Hall 'F -4 2 3'
_cell_length_a 5.613
_cell_length_b 5.613
_cell_length_c 5.613
_cell_angle_alpha 90.00
_cell_angle_beta 90.00
_cell_angle_gamma 90.00
loop_
_atom_site_label
_atom_site_type_symbol
_atom_site_fract_x
_atom_site_fract_y
_atom_site_fract_z
Ta1 Ta 0.000 0.000 0.000
Si1 Si 0.250 0.250 0.750
B1 B 0.000 0.000 0.500
```